Material: VNiS
Method: DFT, PBE
State: optimized geometry

Output
* polymorph energy (0 for the lowest one): 220.6 meV/atom
* raw total energy: -6.585 eV per atom

```
data_VNiS
_chemical_formula_sum 'V1 Ni1 S1'
_cell_length_a 3.7101
_cell_length_b 3.7101
_cell_length_c 3.1495
_cell_angle_alpha 90.00
_cell_angle_beta 90.00
_cell_angle_gamma 120.00
_symmetry_space_group_name_H-M 'P -6 m 2'
_symmetry_Int_Tables_number 187
_symmetry_space_group_name_Hall 'P -6 2'
loop_
_atom_site_label
_atom_site_type_symbol
_atom_site_fract_x
_atom_site_fract_y
_atom_site_fract_z
V1 V 0.0000 0.0000 0.0000
Ni1 Ni 0.3333 0.6667 0.5000
S1 S 0.6667 0.3333 0.5000
```


Material: Na5B7C3
Method: DFT, PBE
State: optimized geometry

Output
* polymorph energy (0 for the lowest one): 26.8 meV/atom
* raw total energy: -5.261 eV per atom
* E_form: 0.140 eV per atom

```
data_Na5B7C3
_chemical_formula_sum 'Na20 B28 C12'
_cell_length_a 14.6666
_cell_length_b 4.9609
_cell_length_c 10.4056
_cell_angle_alpha 90.00
_cell_angle_beta 124.30
_cell_angle_gamma 90.00
_symmetry_space_group_name_H-M 'C 1 2/c 1'
_symmetry_Int_Tables_number 15
loop_
_symmetry_equiv_pos_as_xyz
'x,y,z'
'-x,-y,-z'
'-x,y,-z+1/2'
'x,-y,z+1/2'
'x+1/2,y+1/2,z'
'-x+1/2,-y+1/2,-z'
'-x+1/2,y+1/2,-z+1/2'
'x+1/2,-y+1/2,z+1/2'
loop_
_atom_site_label
_atom_site_type_symbol
_atom_site_fract_x
_atom_site_fract_y
_atom_site_fract_z
Na1 Na 0.0000 0.0000 0.0000
Na2 Na 0.1000 0.4991 0.9998
Na3 Na 0.1997 0.0005 0.4987
B1 B 0.0000 0.1622 0.2500
B2 B 0.0941 0.3361 0.7492
B3 B 0.1924 0.1936 0.2497
B4 B 0.2010 0.1808 0.7493
C1 C 0.0000 0.1731 0.7500
C2 C 0.0948 0.3268 0.2491
```


Material: Be2CuHPt
Method: DFT, PBE
State: optimized geometry

Output
* raw total energy: -4.374 eV per atom

```
data_Be2CuHPt
_chemical_formula_sum 'Be2 Cu1 H1 Pt1'
_cell_length_a 3.7829
_cell_length_b 3.7829
_cell_length_c 3.2491
_cell_angle_alpha 90.00
_cell_angle_beta 90.00
_cell_angle_gamma 90.00
_symmetry_space_group_name_H-M 'P 4/m m m'
_symmetry_Int_Tables_number 123
_symmetry_space_group_name_Hall '-P 4 2'
loop_
_atom_site_label
_atom_site_type_symbol
_atom_site_fract_x
_atom_site_fract_y
_atom_site_fract_z
Be1 Be 0.0000 0.5000 0.0000
Cu1 Cu 0.0000 0.0000 0.5000
H1 H 0.0000 0.0000 0.0000
Pt1 Pt 0.5000 0.5000 0.5000
```


Material: AcAl2SiAu
Method: DFT, PBE
State: optimized geometry

Output
* raw total energy: -4.595 eV per atom

```
data_AcAl2SiAu
_chemical_formula_sum 'Ac2 Al4 Si2 Au2'
_cell_length_a 4.4553
_cell_length_b 4.4654
_cell_length_c 10.6905
_cell_angle_alpha 90.00
_cell_angle_beta 90.00
_cell_angle_gamma 90.00
_symmetry_space_group_name_H-M 'I m m 2'
_symmetry_Int_Tables_number 44
loop_
_symmetry_equiv_pos_as_xyz
'x,y,z'
'-x,-y,z'
'-x,y,z'
'x,-y,z'
'x+1/2,y+1/2,z+1/2'
'-x+1/2,-y+1/2,z+1/2'
'-x+1/2,y+1/2,z+1/2'
'x+1/2,-y+1/2,z+1/2'
loop_
_atom_site_label
_atom_site_type_symbol
_atom_site_fract_x
_atom_site_fract_y
_atom_site_fract_z
Ac1 Ac 0.0000 0.0000 0.0000
Al1 Al 0.0000 0.0000 0.3783
Al2 Al 0.0000 0.5000 0.2434
Si1 Si 0.0000 0.0000 0.6137
Au1 Au 0.0000 0.5000 0.7507
```


Material: TbPd7Au4
Method: DFT, PBE
State: optimized geometry

Output
* polymorph energy (0 for the lowest one): 219.3 meV/atom
* raw total energy: -4.630 eV per atom
* E_form: -0.123 eV per atom

```
data_TbPd7Au4
_chemical_formula_sum 'Tb2 Pd14 Au8'
_cell_length_a 10.2368
_cell_length_b 5.0023
_cell_length_c 9.9171
_cell_angle_alpha 90.00
_cell_angle_beta 119.75
_cell_angle_gamma 90.00
_symmetry_space_group_name_H-M 'C 1 2/m 1'
_symmetry_Int_Tables_number 12
loop_
_symmetry_equiv_pos_as_xyz
'x,y,z'
'-x,-y,-z'
'-x,y,-z'
'x,-y,z'
'x+1/2,y+1/2,z'
'-x+1/2,-y+1/2,-z'
'-x+1/2,y+1/2,-z'
'x+1/2,-y+1/2,z'
loop_
_atom_site_label
_atom_site_type_symbol
_atom_site_fract_x
_atom_site_fract_y
_atom_site_fract_z
Tb1 Tb 0.0000 0.0000 0.0000
Pd1 Pd 0.0000 0.5000 0.0000
Pd2 Pd 0.1115 0.0000 0.4556
Pd3 Pd 0.1571 0.5000 0.6203
Pd4 Pd 0.2104 0.5000 0.9160
Au1 Au 0.0874 0.5000 0.3145
Au2 Au 0.1857 0.0000 0.7715
```


Material: Ta2Cu2Ni
Method: DFT, PBE
State: optimized geometry

Output
* raw total energy: -7.367 eV per atom
* E_form: 0.169 eV per atom

```
data_Ta2Cu2Ni
_chemical_formula_sum 'Ta4 Cu4 Ni2'
_cell_length_a 6.3897
_cell_length_b 6.3897
_cell_length_c 3.5609
_cell_angle_alpha 90.00
_cell_angle_beta 90.00
_cell_angle_gamma 90.00
_symmetry_space_group_name_H-M 'P 4/m b m'
_symmetry_Int_Tables_number 127
_symmetry_space_group_name_Hall '-P 4 2ab'
loop_
_atom_site_label
_atom_site_type_symbol
_atom_site_fract_x
_atom_site_fract_y
_atom_site_fract_z
Ta1 Ta 0.1718 0.3282 0.0000
Cu1 Cu 0.1317 0.6317 0.5000
Ni1 Ni 0.0000 0.0000 0.5000
```


Material: Pr2NdZn
Method: DFT, PBE
State: optimized geometry

Output
* polymorph energy (0 for the lowest one): 205.3 meV/atom
* raw total energy: -3.840 eV per atom
* E_form: 0.061 eV per atom

```
data_Pr2NdZn
_chemical_formula_sum 'Pr8 Nd4 Zn4'
_cell_length_a 7.8257
_cell_length_b 7.8257
_cell_length_c 7.8257
_cell_angle_alpha 90.00
_cell_angle_beta 90.00
_cell_angle_gamma 90.00
_symmetry_space_group_name_H-M 'F m -3 m'
_symmetry_Int_Tables_number 225
_symmetry_space_group_name_Hall '-F 4 2 3'
loop_
_atom_site_label
_atom_site_type_symbol
_atom_site_fract_x
_atom_site_fract_y
_atom_site_fract_z
Pr1 Pr 0.2500 0.2500 0.2500
Nd1 Nd 0.0000 0.0000 0.0000
Zn1 Zn 0.0000 0.0000 0.5000
```


Material: LaNbN2
Method: DFT, PBE
State: optimized geometry

Output
* raw total energy: -8.967 eV per atom

```
data_LaNbN2
_chemical_formula_sum 'La4 Nb4 N8'
_cell_length_a 11.5049
_cell_length_b 3.4167
_cell_length_c 5.9789
_cell_angle_alpha 90.00
_cell_angle_beta 100.02
_cell_angle_gamma 90.00
_symmetry_space_group_name_H-M 'C 1 2/m 1'
_symmetry_Int_Tables_number 12
loop_
_symmetry_equiv_pos_as_xyz
'x,y,z'
'-x,-y,-z'
'-x,y,-z'
'x,-y,z'
'x+1/2,y+1/2,z'
'-x+1/2,-y+1/2,-z'
'-x+1/2,y+1/2,-z'
'x+1/2,-y+1/2,z'
loop_
_atom_site_label
_atom_site_type_symbol
_atom_site_fract_x
_atom_site_fract_y
_atom_site_fract_z
La1 La 0.1292 0.0000 0.0462
Nb1 Nb 0.1376 0.5000 0.5478
N1 N 0.0008 0.5000 0.2608
N2 N 0.2280 0.0000 0.7087
```


Material: LiTbGe2Pt4
Method: DFT, PBE
State: optimized geometry

Output
* raw total energy: -5.749 eV per atom
* E_form: -0.757 eV per atom

```
data_LiTbGe2Pt4
_chemical_formula_sum 'Li3 Tb3 Ge6 Pt12'
_cell_length_a 4.2695
_cell_length_b 4.2695
_cell_length_c 25.5209
_cell_angle_alpha 90.00
_cell_angle_beta 90.00
_cell_angle_gamma 120.00
_symmetry_space_group_name_H-M 'R -3 m'
_symmetry_Int_Tables_number 166
_symmetry_space_group_name_Hall '-R 3 2"'
loop_
_atom_site_label
_atom_site_type_symbol
_atom_site_fract_x
_atom_site_fract_y
_atom_site_fract_z
Li1 Li 0.0000 0.0000 0.0000
Tb1 Tb 0.0000 0.0000 0.5000
Ge1 Ge 0.0000 0.0000 0.2590
Pt1 Pt 0.0000 0.0000 0.0969
Pt2 Pt 0.0000 0.0000 0.3645
```


Material: Tl5Hg2Se2
Method: DFT, PBE
State: optimized geometry

Output
* raw total energy: -2.355 eV per atom

```
data_Tl5Hg2Se2
_chemical_formula_sum 'Tl20 Hg8 Se8'
_cell_length_a 18.0798
_cell_length_b 10.0295
_cell_length_c 6.6934
_cell_angle_alpha 90.00
_cell_angle_beta 106.29
_cell_angle_gamma 90.00
_symmetry_space_group_name_H-M 'C 1 c 1'
_symmetry_Int_Tables_number 9
loop_
_symmetry_equiv_pos_as_xyz
'x,y,z'
'x,-y,z+1/2'
'x+1/2,y+1/2,z'
'x+1/2,-y+1/2,z+1/2'
loop_
_atom_site_label
_atom_site_type_symbol
_atom_site_fract_x
_atom_site_fract_y
_atom_site_fract_z
Tl1 Tl 0.0000 0.0079 0.0000
Tl2 Tl 0.1712 0.4323 0.1022
Tl3 Tl 0.2566 0.0894 0.1658
Tl4 Tl 0.3415 0.3374 0.6551
Tl5 Tl 0.4701 0.1467 0.1897
Hg1 Hg 0.0063 0.3220 0.2197
Hg2 Hg 0.1708 0.2168 0.4801
Se1 Se 0.1163 0.1864 0.8393
Se2 Se 0.3402 0.3555 0.1545
```


Material: AlNi6W
Method: DFT, PBE
State: optimized geometry

Output
* polymorph energy (0 for the lowest one): 10.0 meV/atom
* raw total energy: -6.676 eV per atom
* E_form: -0.253 eV per atom

```
data_AlNi6W
_chemical_formula_sum 'Al8 Ni48 W8'
_cell_length_a 7.2042
_cell_length_b 10.1942
_cell_length_c 10.1937
_cell_angle_alpha 90.00
_cell_angle_beta 90.00
_cell_angle_gamma 90.00
_symmetry_space_group_name_H-M 'C m m m'
_symmetry_Int_Tables_number 65
_symmetry_space_group_name_Hall '-C 2 2'
loop_
_atom_site_label
_atom_site_type_symbol
_atom_site_fract_x
_atom_site_fract_y
_atom_site_fract_z
Al1 Al 0.0000 0.0000 0.2462
Al2 Al 0.0000 0.2519 0.0000
Ni1 Ni 0.0000 0.0000 0.0000
Ni2 Ni 0.0000 0.0000 0.5000
Ni3 Ni 0.0000 0.2504 0.2515
Ni4 Ni 0.0000 0.5000 0.0000
Ni5 Ni 0.0000 0.5000 0.5000
Ni6 Ni 0.2493 0.3750 0.3752
Ni7 Ni 0.2505 0.1244 0.1253
W1 W 0.0000 0.2524 0.5000
W2 W 0.0000 0.5000 0.2428
```


Material: TbMn4P12
Method: DFT, PBE
State: optimized geometry

Output
* raw total energy: -6.703 eV per atom
* E_form: -0.455 eV per atom

```
data_TbMn4P12
_chemical_formula_sum 'Tb2 Mn8 P24'
_cell_length_a 7.9233
_cell_length_b 7.9233
_cell_length_c 7.9233
_cell_angle_alpha 90.00
_cell_angle_beta 90.00
_cell_angle_gamma 90.00
_symmetry_space_group_name_H-M 'I m -3'
_symmetry_Int_Tables_number 204
_symmetry_space_group_name_Hall '-I 2 2 3'
loop_
_atom_site_label
_atom_site_type_symbol
_atom_site_fract_x
_atom_site_fract_y
_atom_site_fract_z
Tb1 Tb 0.0000 0.0000 0.0000
Mn1 Mn 0.2500 0.2500 0.2500
P1 P 0.0000 0.3523 0.1468
```


Material: RbGaAs
Method: DFT, PBE
State: optimized geometry

Output
* polymorph energy (0 for the lowest one): 48.7 meV/atom
* raw total energy: -3.233 eV per atom
* E_form: -0.351 eV per atom

```
data_RbGaAs
_chemical_formula_sum 'Rb4 Ga4 As4'
_cell_length_a 6.2807
_cell_length_b 18.2383
_cell_length_c 3.9293
_cell_angle_alpha 90.00
_cell_angle_beta 90.00
_cell_angle_gamma 90.00
_symmetry_space_group_name_H-M 'C m m m'
_symmetry_Int_Tables_number 65
_symmetry_space_group_name_Hall '-C 2 2'
loop_
_atom_site_label
_atom_site_type_symbol
_atom_site_fract_x
_atom_site_fract_y
_atom_site_fract_z
Rb1 Rb 0.0000 0.1826 0.0000
Ga1 Ga 0.0000 0.4316 0.0000
As1 As 0.0000 0.3530 0.5000
```


Material: Mg2ScFeTc
Method: DFT, PBE
State: optimized geometry

Output
* raw total energy: -4.168 eV per atom
* E_form: 1.502 eV per atom

```
data_Mg2ScFeTc
_chemical_formula_sum 'Mg2 Sc1 Fe1 Tc1'
_cell_length_a 5.2197
_cell_length_b 5.2197
_cell_length_c 4.3890
_cell_angle_alpha 90.00
_cell_angle_beta 90.00
_cell_angle_gamma 90.00
_symmetry_space_group_name_H-M 'P 4/m m m'
_symmetry_Int_Tables_number 123
_symmetry_space_group_name_Hall '-P 4 2'
loop_
_atom_site_label
_atom_site_type_symbol
_atom_site_fract_x
_atom_site_fract_y
_atom_site_fract_z
Mg1 Mg 0.0000 0.5000 0.0000
Sc1 Sc 0.0000 0.0000 0.0000
Fe1 Fe 0.5000 0.5000 0.5000
Tc1 Tc 0.0000 0.0000 0.5000
```


Material: CsSnBF6
Method: DFT, PBE
State: optimized geometry

Output
* raw total energy: -5.252 eV per atom

```
data_CsSnBF6
_chemical_formula_sum 'Cs1 Sn1 B1 F6'
_cell_length_a 5.2751
_cell_length_b 6.0906
_cell_length_c 6.1332
_cell_angle_alpha 67.48
_cell_angle_beta 88.01
_cell_angle_gamma 88.62
_symmetry_space_group_name_H-M 'P 1'
_symmetry_Int_Tables_number 1
loop_
_symmetry_equiv_pos_as_xyz
'x,y,z'
loop_
_atom_site_label
_atom_site_type_symbol
_atom_site_fract_x
_atom_site_fract_y
_atom_site_fract_z
Cs1 Cs 0.0000 0.0000 0.0000
Sn1 Sn 0.4893 0.7485 0.6112
B1 B 0.4604 0.3814 0.2050
F1 F 0.1088 0.8271 0.5633
F2 F 0.3116 0.4653 0.9930
F3 F 0.3184 0.4139 0.3854
F4 F 0.5091 0.9653 0.7972
F5 F 0.5095 0.1324 0.2569
F6 F 0.6921 0.4997 0.1576
```


Material: LaVAg3
Method: DFT, PBE
State: optimized geometry

Output
* polymorph energy (0 for the lowest one): 0.0 meV/atom
* raw total energy: -4.039 eV per atom
* E_form: 0.481 eV per atom

```
data_LaVAg3
_chemical_formula_sum 'La1 V1 Ag3'
_cell_length_a 5.0249
_cell_length_b 5.0249
_cell_length_c 5.0249
_cell_angle_alpha 90.00
_cell_angle_beta 90.00
_cell_angle_gamma 90.00
_symmetry_space_group_name_H-M 'P m -3 m'
_symmetry_Int_Tables_number 221
_symmetry_space_group_name_Hall '-P 4 2 3'
loop_
_atom_site_label
_atom_site_type_symbol
_atom_site_fract_x
_atom_site_fract_y
_atom_site_fract_z
La1 La 0.0000 0.0000 0.0000
V1 V 0.5000 0.5000 0.5000
Ag1 Ag 0.0000 0.5000 0.5000
```


Material: Zr2GaHg2
Method: DFT, PBE
State: optimized geometry

Output
* polymorph energy (0 for the lowest one): 0.0 meV/atom
* raw total energy: -4.198 eV per atom
* E_form: -0.053 eV per atom

```
data_Zr2GaHg2
_chemical_formula_sum 'Zr4 Ga2 Hg4'
_cell_length_a 7.0482
_cell_length_b 7.0482
_cell_length_c 4.3609
_cell_angle_alpha 90.00
_cell_angle_beta 90.00
_cell_angle_gamma 90.00
_symmetry_space_group_name_H-M 'P 4/m b m'
_symmetry_Int_Tables_number 127
_symmetry_space_group_name_Hall '-P 4 2ab'
loop_
_atom_site_label
_atom_site_type_symbol
_atom_site_fract_x
_atom_site_fract_y
_atom_site_fract_z
Zr1 Zr 0.1652 0.3348 0.0000
Ga1 Ga 0.0000 0.0000 0.5000
Hg1 Hg 0.1405 0.6405 0.5000
```


Material: ZrVFeCo
Method: DFT, PBE
State: optimized geometry

Output
* raw total energy: -8.373 eV per atom
* E_form: -0.064 eV per atom

```
data_ZrVFeCo
_chemical_formula_sum 'Zr4 V4 Fe4 Co4'
_cell_length_a 6.0864
_cell_length_b 6.0864
_cell_length_c 6.0864
_cell_angle_alpha 90.00
_cell_angle_beta 90.00
_cell_angle_gamma 90.00
_symmetry_space_group_name_H-M 'F -4 3 m'
_symmetry_Int_Tables_number 216
_symmetry_space_group_name_Hall 'F -4 2 3'
loop_
_atom_site_label
_atom_site_type_symbol
_atom_site_fract_x
_atom_site_fract_y
_atom_site_fract_z
Zr1 Zr 0.0000 0.0000 0.0000
V1 V 0.0000 0.0000 0.5000
Fe1 Fe 0.2500 0.2500 0.7500
Co1 Co 0.2500 0.2500 0.2500
```


Material: La2PmCu6
Method: DFT, PBE
State: optimized geometry

Output
* raw total energy: -4.577 eV per atom
* E_form: -0.224 eV per atom

```
data_La2PmCu6
_chemical_formula_sum 'La2 Pm1 Cu6'
_cell_length_a 7.4738
_cell_length_b 7.4738
_cell_length_c 3.8100
_cell_angle_alpha 90.00
_cell_angle_beta 90.00
_cell_angle_gamma 120.00
_symmetry_space_group_name_H-M 'P 6/m m m'
_symmetry_Int_Tables_number 191
_symmetry_space_group_name_Hall '-P 6 2'
loop_
_atom_site_label
_atom_site_type_symbol
_atom_site_fract_x
_atom_site_fract_y
_atom_site_fract_z
La1 La 0.3333 0.6667 0.0000
Pm1 Pm 0.0000 0.0000 0.0000
Cu1 Cu 0.0000 0.3317 0.5000
```


Material: Nb2TeH
Method: DFT, PBE
State: optimized geometry

Output
* polymorph energy (0 for the lowest one): 400.8 meV/atom
* raw total energy: -6.089 eV per atom

```
data_Nb2TeH
_chemical_formula_sum 'Nb8 Te4 H4'
_cell_length_a 6.4414
_cell_length_b 6.4414
_cell_length_c 6.4414
_cell_angle_alpha 90.00
_cell_angle_beta 90.00
_cell_angle_gamma 90.00
_symmetry_space_group_name_H-M 'F m -3 m'
_symmetry_Int_Tables_number 225
_symmetry_space_group_name_Hall '-F 4 2 3'
loop_
_atom_site_label
_atom_site_type_symbol
_atom_site_fract_x
_atom_site_fract_y
_atom_site_fract_z
Nb1 Nb 0.2500 0.2500 0.2500
Te1 Te 0.0000 0.0000 0.0000
H1 H 0.0000 0.0000 0.5000
```


Calculated calculated volume in order - 37.5; 625.4; 46.5; 212.7; 440.9; 145.4; 479.3; 231.4; 402.9; 1165.0; 748.6; 497.4; 450.1; 119.6; 181.9; 126.9; 216.6; 225.5; 184.3; 267.3 Å³/cell